Entry 1:
An optimized crystal structure of Ba3Ca. Source: the Alexandria database, functional GGA-PBEsol.

It has space group Cmmm (No. 65), with a = 4.910 Å, b = 6.618 Å, c = 13.151 Å, α = 90.00°, β = 90.00° and γ = 90.00°. Symmetry generates all atoms from Ba at (0.000, 0.000, 0.000), Ba at (0.000, 0.500, 0.262) and Ca at (0.000, 0.000, 0.500).

The size of the total moment comes out at 0.0 μB/f.u. The total energy comes out at -0.15592 Ry per atom. The density comes out at 3.51 g/cm³.


Entry 2:
An optimized crystal structure of BaCa3. Source: the Alexandria database, functional GGA-PBEsol.

It has space group C2/m (No. 12), with a = 13.150 Å, b = 3.935 Å, c = 6.955 Å, α = 90.00°, β = 98.85° and γ = 90.00°. Symmetry generates all atoms from Ba at (0.000, 0.000, 0.000), Ca at (0.000, 0.500, 0.500) and Ca at (0.246, 0.000, 0.741).

The size of the total moment comes out at 0.0 μB/f.u. The total energy comes out at -0.15493 Ry per atom. The density comes out at 2.41 g/cm³.


Entry 3:
An optimized crystal structure of Ba5Ca. Source: the Alexandria database, functional GGA-PBEsol.

It has space group Cmmm (No. 65), with a = 6.761 Å, b = 14.409 Å, c = 6.768 Å, α = 90.00°, β = 90.00° and γ = 90.00°. Symmetry generates all atoms from Ba at (0.000, 0.000, 0.000), Ba at (0.000, 0.161, 0.500), Ba at (0.000, 0.338, 0.000) and Ca at (0.000, 0.500, 0.500).

The size of the total moment comes out at 0.0 μB/f.u. The total energy comes out at -0.15667 Ry per atom. The density comes out at 3.66 g/cm³.


Entry 4:
An optimized crystal structure of BaCa. Source: the Alexandria database, functional GGA-PBEsol.

It has space group P-6m2 (No. 187), with a = 4.0594 Å, b = 4.0594 Å, c = 6.7413 Å, α = 90.00°, β = 90.00° and γ = 120.00°. Symmetry generates all atoms from Ba at (0.0000, 0.0000, 0.0000) and Ca at (0.3333, 0.6667, 0.5000).

The size of the total moment comes out at 0.0 μB/f.u. The total energy comes out at -0.15393 Ry per atom. The density comes out at 3.06 g/cm³.


Entry 5:
An optimized crystal structure of BaCa. Source: the Alexandria database, functional GGA-PBEsol.

It has space group Cmcm (No. 63), with a = 3.902 Å, b = 15.387 Å, c = 6.420 Å, α = 90.00°, β = 90.00° and γ = 90.00°. Symmetry generates all atoms from Ba at (0.000, 0.071, 0.250) and Ca at (0.000, 0.320, 0.250).

The size of the total moment comes out at 0.0 μB/f.u. The total energy comes out at -0.15266 Ry per atom. The density comes out at 3.06 g/cm³.


Entry 6:
An optimized crystal structure of BaCa3. Source: the Alexandria database, functional GGA-PBEsol.

It has space group R-3m (No. 166, hexagonal axes), with a = 12.5608 Å, b = 12.5608 Å, c = 3.8441 Å, α = 90.00°, β = 90.00° and γ = 120.00°. Symmetry generates all atoms from Ba at (0.0000, 0.0000, 0.0000) and Ca at (0.0000, 0.5000, 0.0000).

The size of the total moment comes out at 0.0 μB/f.u. The total energy comes out at -0.15493 Ry per atom. The density comes out at 2.44 g/cm³.


Entry 7:
An optimized crystal structure of Ba2Ca. Source: the Alexandria database, functional GGA-PBEsol.

It has space group C2/m (No. 12), with a = 15.518 Å, b = 4.147 Å, c = 9.929 Å, α = 90.00°, β = 104.94° and γ = 90.00°. Symmetry generates all atoms from Ba at (0.031, 0.000, 0.315), Ba at (0.141, 0.500, 0.026) and Ca at (0.199, 0.500, 0.637).

The size of the total moment comes out at 0.0 μB/f.u. The total energy comes out at -0.15487 Ry per atom. The density comes out at 3.39 g/cm³.


Entry 8:
An optimized crystal structure of Ba24Ca5. Source: the Alexandria database, functional GGA-PBEsol.

It has space group I-43m (No. 217), with a = 14.708 Å, b = 14.708 Å, c = 14.708 Å, α = 90.00°, β = 90.00° and γ = 90.00°. Symmetry generates all atoms from Ba at (0.054, 0.362, 0.638), Ba at (0.093, 0.093, 0.718), Ca at (0.000, 0.000, 0.000) and Ca at (0.174, 0.174, 0.174).

The size of the total moment comes out at 0.0 μB/f.u. The total energy comes out at -0.15130 Ry per atom. The density comes out at 3.65 g/cm³.


Entry 9:
An optimized crystal structure of Ba3Ca. Source: the Alexandria database, functional GGA-PBEsol.

It has space group Immm (No. 71), with a = 4.747 Å, b = 6.715 Å, c = 13.354 Å, α = 90.00°, β = 90.00° and γ = 90.00°. Symmetry generates all atoms from Ba at (0.000, 0.000, 0.000), Ba at (0.000, 0.500, 0.244) and Ca at (0.000, 0.000, 0.500).

The size of the total moment comes out at 0.0 μB/f.u. The total energy comes out at -0.15618 Ry per atom. The density comes out at 3.53 g/cm³.


Entry 10:
An optimized crystal structure of BaCa5. Source: the Alexandria database, functional GGA-PBEsol.

It has space group Cmmm (No. 65), with a = 5.586 Å, b = 16.624 Å, c = 5.604 Å, α = 90.00°, β = 90.00° and γ = 90.00°. Symmetry generates all atoms from Ba at (0.000, 0.000, 0.000), Ca at (0.000, 0.171, 0.500), Ca at (0.000, 0.329, 0.000) and Ca at (0.000, 0.500, 0.500).

The size of the total moment comes out at 0.0 μB/f.u. The total energy comes out at -0.15547 Ry per atom. The density comes out at 2.16 g/cm³.


Entry 11:
An optimized crystal structure of BaCa3. Source: the Alexandria database, functional GGA-PBEsol.

It has space group P6_3/mmc (No. 194), with a = 7.9842 Å, b = 7.9842 Å, c = 19.5677 Å, α = 90.00°, β = 90.00° and γ = 120.00°. Symmetry generates all atoms from Ba at (0.0000, 0.0000, 0.2500), Ba at (0.3333, 0.6667, 0.0843), Ca at (0.0058, 0.5029, 0.7500) and Ca at (0.1668, 0.3336, 0.5831).

The size of the total moment comes out at 0.0 μB/f.u. The total energy comes out at -0.15509 Ry per atom. The density comes out at 2.38 g/cm³.


Entry 12:
An optimized crystal structure of Ba7Ca. Source: the Alexandria database, functional GGA-PBEsol.

It has space group Fm-3m (No. 225), with a = 12.176 Å, b = 12.176 Å, c = 12.176 Å, α = 90.00°, β = 90.00° and γ = 90.00°. Symmetry generates all atoms from Ba at (0.000, 0.000, 0.000), Ba at (0.000, 0.250, 0.250) and Ca at (0.000, 0.000, 0.500).

The size of the total moment comes out at 0.0 μB/f.u. The total energy comes out at -0.15544 Ry per atom. The density comes out at 3.68 g/cm³.